VASP calculation (PBE) on a geometry-optimized ErScCl4 structure.

Values from the calculation:
The space group is C2/c.

Unit cell a=8.8747 b=8.8747 c=6.4442 alpha=103.71 beta=103.71 gamma=130.94
Sites, in units of the cell vectors:
Er1 0.1910 0.8090 0.7500
Er2 0.8090 0.1910 0.2500
Sc1 0.3033 0.6967 0.2500
Sc2 0.6967 0.3033 0.7500
Cl1 0.0665 0.4332 0.7576
Cl2 0.1764 0.3432 0.2513
Cl3 0.3432 0.1764 0.7513
Cl4 0.4332 0.0665 0.2576
Cl5 0.5668 0.9335 0.7424
Cl6 0.6568 0.8236 0.2487
Cl7 0.8236 0.6568 0.7487
Cl8 0.9335 0.5668 0.2424

***

VASP calculation (PBE) on a geometry-optimized Er3SeCl7 structure.

Values from the calculation:
The space group is P3m1.

Unit cell a=7.9859 b=7.9859 c=6.8224 alpha=90.00 beta=90.00 gamma=120.00
Sites, in units of the cell vectors:
Er1 0.0102 0.5051 0.0000
Er2 0.4949 0.5051 0.0000
Er3 0.4949 0.9898 0.0000
Se1 0.3333 0.6667 0.7658
Cl1 0.1776 0.3552 0.2153
Cl2 0.1776 0.8224 0.2153
Cl3 0.3557 0.1778 0.8050
Cl4 0.6448 0.8224 0.2153
Cl5 0.6667 0.3333 0.2213
Cl6 0.8222 0.1778 0.8050
Cl7 0.8222 0.6443 0.8050

***

VASP calculation (PBE) on a geometry-optimized Er2SeCl3 structure.

Values from the calculation:
The space group is C2/m.

Unit cell a=8.3040 b=8.3040 c=12.6187 alpha=123.80 beta=123.80 gamma=28.50
Sites, in units of the cell vectors:
Er1 0.1035 0.1035 0.4465
Er2 0.3688 0.3688 0.1642
Er3 0.6312 0.6312 0.8358
Er4 0.8965 0.8965 0.5535
Se1 0.1144 0.1144 0.6818
Se2 0.8856 0.8856 0.3182
Cl1 0.1611 0.1611 0.0080
Cl2 0.2677 0.2677 0.4106
Cl3 0.4369 0.4369 0.7304
Cl4 0.5631 0.5631 0.2696
Cl5 0.7323 0.7323 0.5894
Cl6 0.8389 0.8389 0.9920

***

VASP calculation (PBE) on a geometry-optimized ErSe6Cl12 structure.

Values from the calculation:
The space group is R-3.

Unit cell a=13.0274 b=13.0274 c=13.0274 alpha=35.34 beta=35.34 gamma=35.34
Sites, in units of the cell vectors:
Er1 0.0000 0.0000 0.0000
Se1 0.1097 0.1870 0.4610
Se2 0.1870 0.4610 0.1097
Se3 0.4610 0.1097 0.1870
Se4 0.5390 0.8903 0.8130
Se5 0.8130 0.5390 0.8903
Se6 0.8903 0.8130 0.5390
Cl1 0.1132 0.2698 0.7409
Cl2 0.1239 0.7732 0.4988
Cl3 0.2268 0.5012 0.8761
Cl4 0.2591 0.8868 0.7302
Cl5 0.2698 0.7409 0.1132
Cl6 0.4988 0.1239 0.7732
Cl7 0.5012 0.8761 0.2268
Cl8 0.7302 0.2591 0.8868
Cl9 0.7409 0.1132 0.2698
Cl10 0.7732 0.4988 0.1239
Cl11 0.8761 0.2268 0.5012
Cl12 0.8868 0.7302 0.2591

***

VASP calculation (PBE) on a geometry-optimized Er3SeCl7 structure.

Values from the calculation:
The space group is Cm.

Unit cell a=7.7996 b=7.7996 c=9.6193 alpha=126.63 beta=126.63 gamma=61.61
Sites, in units of the cell vectors:
Er1 0.0000 0.0000 0.0000
Er2 0.0011 0.5162 0.5150
Er3 0.5162 0.0011 0.5150
Se1 0.7197 0.7197 0.6765
Cl1 0.2303 0.2303 0.6556
Cl2 0.2300 0.7618 0.1885
Cl3 0.2589 0.7937 0.8320
Cl4 0.2841 0.2841 0.3417
Cl5 0.7618 0.2300 0.1885
Cl6 0.7937 0.2589 0.8320
Cl7 0.7937 0.7937 0.3654

***

VASP calculation (PBE) on a geometry-optimized Er2SeCl structure.

Values from the calculation:
The space group is R-3m. As for the energy above the most stable polymorph in this dataset: 23 meV/atom.

Unit cell a=7.7915 b=7.7915 c=7.7915 alpha=28.42 beta=28.42 gamma=28.42
Sites, in units of the cell vectors:
Er1 0.2395 0.2395 0.2395
Er2 0.7605 0.7605 0.7605
Se1 0.5000 0.5000 0.5000
Cl1 0.0000 0.0000 0.0000

***

Number 1: formation energy without anion corrections -1808.3 meV/atom, magnetic moment 0.0 μB per formula unit. Number 2: formation energy without anion corrections -2194.9 meV/atom, magnetic moment 0.1 μB per formula unit. Number 3: formation energy without anion corrections -1936.6 meV/atom, magnetic moment 0.0 μB per formula unit. Number 4: formation energy without anion corrections -550.1 meV/atom, magnetic moment 0.0 μB per formula unit. Number 5: formation energy without anion corrections -2195.6 meV/atom, magnetic moment 0.1 μB per formula unit. Number 6: formation energy without anion corrections -1320.5 meV/atom, magnetic moment 0.0 μB per formula unit.